Entry 1:
Here is crystalline Cd3Cu at its relaxed geometry from the Alexandria database. Energies are from PBE-GGA.

The space group is Pmm2 (No. 25) and the conventional cell measures 3.138, 4.656 and 5.301 Å, with angles of 90.00, 90.00 and 90.00 degrees. The inequivalent atoms are Cd at (0.000, 0.000, 0.000), Cd at (0.000, 0.500, 0.343), Cd at (0.500, 0.000, 0.530) and Cu at (0.500, 0.500, 0.852).

For the volume, the calculation gives 19.4 Å³/atom. For the size of the total moment, the calculation gives 0.0 μB per cell. For the formation energy, the calculation gives 8 kJ/mol of atoms. The electronic total energy is -1.632 eV per atom.

Entry 2:
Here is crystalline Mn3Tc5 at its relaxed geometry from the Alexandria database. Energies are from PBE-GGA.

The space group is P6_3/mcm (No. 193) and the conventional cell measures 7.2274, 7.2274 and 4.8649 Å, with angles of 90.00, 90.00 and 120.00 degrees. The inequivalent atoms are Mn at (0.0000, 0.4054, 0.2500), Tc at (0.0000, 0.2285, 0.7500) and Tc at (0.3333, 0.6667, 0.0000).

For the volume, the calculation gives 13.8 Å³/atom. For the size of the total moment, the calculation gives 11.3 μB per cell. For the formation energy, the calculation gives 14 kJ/mol of atoms. The electronic total energy is -9.775 eV per atom. For the energy above the most stable polymorph in this dataset, the calculation gives 90 meV/atom.

Entry 3:
Here is crystalline InTc2Te at its relaxed geometry from the Alexandria database. Energies are from PBE-GGA.

The space group is Imm2 (No. 44) and the conventional cell measures 3.186, 4.334 and 10.933 Å, with angles of 90.00, 90.00 and 90.00 degrees. The inequivalent atoms are In at (0.000, 0.000, 0.000), Tc at (0.000, 0.000, 0.541), Tc at (0.000, 0.500, 0.820) and Te at (0.000, 0.500, 0.241).

For the volume, the calculation gives 18.9 Å³/atom. For the size of the total moment, the calculation gives 0.0 μB per cell. The electronic total energy is -6.247 eV per atom. For the energy above the most stable polymorph in this dataset, the calculation gives 210 meV/atom. Its raw formation energy is 406 meV per atom.

Among the records above, which one has the lowest electronic total energy? Mn3Tc5